# 1
A plane-wave DFT calculation with GGA-PBE was carried out for a relaxed ZnBOs2 crystal.

Unit cell a=3.9871 b=3.9871 c=15.4187 alpha=90.00 beta=90.00 gamma=90.00
Closest atoms and distances in Å follow each position.
Fractional coordinates of all 16 atoms:
Zn1 0.0000 0.0000 0.0000  4 Os 2.56, 4 B 2.82
Zn2 0.0000 0.5000 0.2500  4 Os 2.56, 4 B 2.82
Zn3 0.5000 0.0000 0.7500  4 Os 2.56, 4 B 2.82
Zn4 0.5000 0.5000 0.5000  4 Os 2.56, 4 B 2.82
B1 0.0000 0.0000 0.5000  4 Os 2.26
B2 0.0000 0.5000 0.7500  4 Os 2.26
B3 0.5000 0.0000 0.2500  4 Os 2.26
B4 0.5000 0.5000 0.0000  4 Os 2.26
Os1 0.1611 0.2500 0.6250  2 B 2.26, 2 Os 2.37
Os2 0.2500 0.6611 0.8750  2 B 2.26, 2 Os 2.37
Os3 0.2500 0.8389 0.3750  2 B 2.26, 2 Os 2.37
Os4 0.3389 0.2500 0.1250  2 B 2.26, 2 Os 2.37
Os5 0.6611 0.7500 0.1250  2 B 2.26, 2 Os 2.37
Os6 0.7500 0.1611 0.3750  2 B 2.26, 2 Os 2.37
Os7 0.7500 0.3389 0.8750  2 B 2.26, 2 Os 2.37
Os8 0.8389 0.7500 0.6250  2 B 2.26, 2 Os 2.37

Output
As for the magnetic moment: 0.00 μB/atom. Its total energy is -6.65 eV/atom. The space-group type is No. 122. The calculation puts the formation energy at 0.955 eV per atom. As for the crystal system: tetragonal.

# 2
A plane-wave DFT calculation with GGA-PBE was carried out for a relaxed SrHoI6 crystal.

Unit cell a=7.8726 b=7.8790 c=8.1068 alpha=61.45 beta=61.45 gamma=60.05
Closest atoms and distances in Å follow each position.
Fractional coordinates of all 8 atoms:
Sr1 0.0000 0.0000 0.0000  6 I 3.32-3.33
Ho1 0.5000 0.5000 0.5000  6 I 3.02-3.03
I1 0.0869 0.4433 0.7466  1 Ho 3.03, 1 Sr 3.33
I2 0.2751 0.9160 0.2570  1 Ho 3.02, 1 Sr 3.32
I3 0.4473 0.7191 0.7510  1 Ho 3.02, 1 Sr 3.33
I4 0.5527 0.2809 0.2490  1 Ho 3.02, 1 Sr 3.33
I5 0.7249 0.0840 0.7430  1 Ho 3.02, 1 Sr 3.32
I6 0.9131 0.5567 0.2534  1 Ho 3.03, 1 Sr 3.33

Output
As for the magnetic moment: 0.00 μB/atom. Its total energy is -3.14 eV/atom. The space-group type is No. 2. As for the crystal system: triclinic.

# 3
A plane-wave DFT calculation with GGA-PBE was carried out for a relaxed AcCoCuH6 crystal.

Unit cell a=4.5978 b=4.5978 c=4.5016 alpha=90.00 beta=90.00 gamma=120.00
Closest atoms and distances in Å follow each position.
Fractional coordinates of all 9 atoms:
Ac1 0.0000 0.0000 0.0000  12 H 2.60
Co1 0.6667 0.3333 0.5000  6 H 1.61
Cu1 0.3333 0.6667 0.5000  6 H 1.76
H1 0.5121 0.0242 0.2705  1 Co 1.61, 1 Cu 1.76
H2 0.5121 0.0242 0.7295  1 Co 1.61, 1 Cu 1.76
H3 0.5121 0.4879 0.2705  1 Co 1.61, 1 Cu 1.76
H4 0.5121 0.4879 0.7295  1 Co 1.61, 1 Cu 1.76
H5 0.9758 0.4879 0.2705  1 Co 1.61, 1 Cu 1.76
H6 0.9758 0.4879 0.7295  1 Co 1.61, 1 Cu 1.76

Output
As for the magnetic moment: 0.00 μB/atom. Its total energy is -4.27 eV/atom. The space-group type is No. 187. As for the crystal system: hexagonal.

# 4
A plane-wave DFT calculation with GGA-PBE was carried out for a relaxed SrTcAg4 crystal.

Unit cell a=5.6448 b=5.6448 c=5.6448 alpha=60.00 beta=60.00 gamma=60.00
Closest atoms and distances in Å follow each position.
Fractional coordinates of all 6 atoms:
Sr1 0.0000 0.0000 0.0000  12 Ag 3.31, 4 Tc 3.46
Tc1 0.7500 0.7500 0.7500  12 Ag 3.31, 4 Sr 3.46
Ag1 0.3755 0.3755 0.3755  6 Ag 2.81-2.83
Ag2 0.3755 0.3755 0.8734  6 Ag 2.81-2.83
Ag3 0.3755 0.8734 0.3755  6 Ag 2.81-2.83
Ag4 0.8734 0.3755 0.3755  6 Ag 2.81-2.83

Output
As for the magnetic moment: 0.52 μB/atom. Its total energy is -3.54 eV/atom. The space-group type is No. 216. The calculation puts the formation energy at 0.369 eV per atom. As for the crystal system: cubic.

# 5
A plane-wave DFT calculation with GGA-PBE was carried out for a relaxed CrAgOs2 crystal.

Unit cell a=2.8485 b=4.6004 c=4.6177 alpha=90.00 beta=90.00 gamma=90.00
Closest atoms and distances in Å follow each position.
Fractional coordinates of all 4 atoms:
Cr1 0.0000 0.0000 0.0000  4 Ag 2.71, 4 Os 2.71, 2 Cr 2.85
Ag1 0.5000 0.5000 0.0000  4 Cr 2.71, 4 Os 2.71, 2 Ag 2.85
Os1 0.0000 0.5000 0.5000  6 Os 2.71-2.85, 4 Ag 2.71
Os2 0.5000 0.0000 0.5000  6 Os 2.71-2.85, 4 Cr 2.71

Output
As for the magnetic moment: 0.67 μB/atom. Its total energy is -8.02 eV/atom. The space-group type is No. 47. The calculation puts the formation energy at 0.709 eV per atom. As for the crystal system: orthorhombic.

# 6
A plane-wave DFT calculation with GGA-PBE was carried out for a relaxed Pu5Tc3 crystal.

Unit cell a=3.3665 b=3.3665 c=14.2371 alpha=90.00 beta=90.00 gamma=90.00
Closest atoms and distances in Å follow each position.
Fractional coordinates of all 8 atoms:
Pu1 0.0000 0.0000 0.0000  8 Tc 2.95
Pu2 0.0000 0.0000 0.2374  4 Tc 2.89, 4 Pu 3.14
Pu3 0.0000 0.0000 0.7626  4 Tc 2.89, 4 Pu 3.14
Pu4 0.5000 0.5000 0.3816  4 Tc 2.92, 4 Pu 3.14
Pu5 0.5000 0.5000 0.6185  4 Tc 2.92, 4 Pu 3.14
Tc1 0.0000 0.0000 0.5000  8 Pu 2.92
Tc2 0.5000 0.5000 0.1221  8 Pu 2.89-2.95
Tc3 0.5000 0.5000 0.8779  8 Pu 2.89-2.95

Output
As for the magnetic moment: 2.94 μB/atom. Its total energy is -12.79 eV/atom. The space-group type is No. 123. The calculation puts the formation energy at 0.054 eV per atom. As for the crystal system: tetragonal.

> magnetic moment of number 5 (CrAgOs2)?

0.67 μB/atom